#one
Here is Fe2TeAs at its PBEsol-relaxed geometry from Alexandria via LeMat-Bulk. Energies are from SCAN.

Computed properties:
The space-group type is P4/mmm (123). For the volume, the calculation gives 58.1 Å³/f.u.

Cell and atoms, written as POSCAR:
```
Fe2TeAs
1.0
3.1092 0.0345 0.0352
-0.0488 4.3238 0.0448
-0.0488 -0.0420 4.3238
Te Fe As
1 2 1
direct
0.5000 0.0000 0.0000 Te
0.0000 0.5000 0.0000 Fe
0.0000 0.0000 0.5000 Fe
0.5000 0.5000 0.5000 As
```


#two
Here is Fe2TeAs at its PBEsol-relaxed geometry from Alexandria via LeMat-Bulk. Energies are from SCAN.

Computed properties:
The space-group type is P4mm (99). For the volume, the calculation gives 67.7 Å³/f.u.

Cell and atoms, written as POSCAR:
```
Fe2TeAs
1.0
3.1106 0.0000 0.0000
0.0000 3.1106 0.0000
0.0000 0.0000 6.9991
Fe Te As
2 1 1
direct
0.5000 0.5000 0.2060 Fe
0.0000 0.0000 0.0257 Fe
0.0000 0.0000 0.4188 Te
0.5000 0.5000 0.8495 As
```


#three
Here is Fe2TeAs at its PBEsol-relaxed geometry from Alexandria via LeMat-Bulk. Energies are from SCAN.

Computed properties:
The space-group type is Fm-3m (225). For the volume, the calculation gives 57.8 Å³/f.u.

Cell and atoms, written as POSCAR:
```
Fe2TeAs
1.0
-1.2242 -0.1477 4.1601
-1.3159 -3.7496 1.7424
2.4867 -2.0251 2.9227
As Fe Te
1 2 1
direct
0.0000 0.0000 0.0000 As
0.2500 0.2500 0.2500 Fe
0.7500 0.7500 0.7500 Fe
0.5000 0.5000 0.5000 Te
```


Quick one: least stable of them? #one